No. 1
A plane-wave DFT calculation with PBE-GGA was carried out for crystalline CuSiTe at its relaxed geometry.

Summary:
**E_form (uncorrected)**: 0.369 eV/atom
**M_tot**: 0.000 μB/atom
**Energy above the most stable polymorph in this dataset**: 17.9 kJ/mol of atoms
**Electronic total energy**: -3.85 eV per atom

Cell lengths 4.4622, 4.4622, 4.4622 Å; angles 60.00, 60.00, 60.00 degrees
Closest atoms and distances in Å follow each position.
Atoms (fractional coordinates):
Cu  0.0000  0.0000  0.0000  4 Te 2.73, 4 Si 2.73
Si  0.7500  0.7500  0.7500  4 Cu 2.73
Te  0.2500  0.2500  0.2500  4 Cu 2.73

---

No. 2
A plane-wave DFT calculation with PBE-GGA was carried out for crystalline Ca4LaMn at its relaxed geometry.

Summary:
**Calculated formation energy**: 0.58 eV/atom
**M_tot**: 0.759 μB/atom
**Electronic total energy**: -3.10 eV per atom

Cell lengths 6.8736, 6.8736, 6.8736 Å; angles 60.00, 60.00, 60.00 degrees
Closest atoms and distances in Å follow each position.
Atoms (fractional coordinates):
Ca  0.3755  0.3755  0.3755  6 Ca 3.42-3.45
Ca  0.3755  0.3755  0.8734  6 Ca 3.42-3.45
Ca  0.3755  0.8734  0.3755  6 Ca 3.42-3.45
Ca  0.8734  0.3755  0.3755  6 Ca 3.42-3.45
La  0.0000  0.0000  0.0000  12 Ca 4.03, 4 Mn 4.21
Mn  0.7500  0.7500  0.7500  12 Ca 4.03, 4 La 4.21

---

No. 3
A plane-wave DFT calculation with PBE-GGA was carried out for crystalline MgMo2Ru at its relaxed geometry.

Summary:
**Calculated formation energy**: 0.30 eV/atom
**M_tot**: 0.000 μB/atom
**Electronic total energy**: -7.84 eV per atom

Cell lengths 3.8032, 3.8032, 4.3188 Å; angles 90.00, 90.00, 90.00 degrees
Closest atoms and distances in Å follow each position.
Atoms (fractional coordinates):
Mg  0.0000  0.0000  0.0000  4 Ru 2.69, 8 Mo 2.88
Mo  0.0000  0.5000  0.5000  4 Mo 2.69, 4 Ru 2.88, 4 Mg 2.88
Mo  0.5000  0.0000  0.5000  4 Mo 2.69, 4 Ru 2.88, 4 Mg 2.88
Ru  0.5000  0.5000  0.0000  4 Mg 2.69, 8 Mo 2.88

---

No. 4
A plane-wave DFT calculation with PBE-GGA was carried out for crystalline Sc4CdCl at its relaxed geometry.

Summary:
**E_form (uncorrected)**: 0.238 eV/atom
**M_tot**: 0.001 μB/atom
**Electronic total energy**: -4.44 eV per atom

Cell lengths 5.9768, 5.9768, 5.9768 Å; angles 60.00, 60.00, 60.00 degrees
Closest atoms and distances in Å follow each position.
Atoms (fractional coordinates):
Sc  0.1227  0.1227  0.1227  6 Sc 2.93-3.04
Sc  0.1227  0.1227  0.6319  6 Sc 2.93-3.04
Sc  0.1227  0.6319  0.1227  6 Sc 2.93-3.04
Sc  0.6319  0.1227  0.1227  6 Sc 2.93-3.04
Cd  0.7500  0.7500  0.7500  12 Sc 3.50, 4 Cl 3.66
Cl  0.5000  0.5000  0.5000  12 Sc 3.51, 4 Cd 3.66

---

No. 5
A plane-wave DFT calculation with PBE-GGA was carried out for crystalline TeOsI3 at its relaxed geometry.

Summary:
**E_form (uncorrected)**: 0.736 eV/atom
**M_tot**: 0.000 μB/atom
**Energy above the most stable polymorph in this dataset**: 0.0 kJ/mol of atoms
**Electronic total energy**: -3.07 eV per atom

Cell lengths 5.3702, 5.3702, 5.3702 Å; angles 90.00, 90.00, 90.00 degrees
Closest atoms and distances in Å follow each position.
Atoms (fractional coordinates):
Te  0.0000  0.0000  0.0000  12 I 3.80
Os  0.5000  0.5000  0.5000  6 I 2.69
I  0.0000  0.5000  0.5000  2 Os 2.69
I  0.5000  0.0000  0.5000  2 Os 2.69
I  0.5000  0.5000  0.0000  2 Os 2.69

---

No. 6
A plane-wave DFT calculation with PBE-GGA was carried out for crystalline KTaN2F at its relaxed geometry.

Summary:
**E_form (uncorrected)**: 1.945 eV/atom
**M_tot**: 0.201 μB/atom
**Energy above the most stable polymorph in this dataset**: 292.7 kJ/mol of atoms
**Electronic total energy**: -4.35 eV per atom

Cell lengths 4.1948, 4.1948, 4.1091 Å; angles 90.00, 90.00, 90.00 degrees
Closest atoms and distances in Å follow each position.
Atoms (fractional coordinates):
K  0.0000  0.0000  0.0000  2 F 2.05, 4 N 2.10
Ta  0.5000  0.5000  0.5000  8 N 2.94, 4 F 2.97
N  0.0000  0.5000  0.0000  2 K 2.10
N  0.5000  0.0000  0.0000  2 K 2.10
F  0.0000  0.0000  0.5000  2 K 2.05

---

No. 7
A plane-wave DFT calculation with PBE-GGA was carried out for crystalline HoMnFeSi3 at its relaxed geometry.

Summary:
**E_form (uncorrected)**: -0.299 eV/atom
**M_tot**: 0.000 μB/atom
**Electronic total energy**: -6.71 eV per atom

Cell lengths 6.2691, 6.2691, 6.0305 Å; angles 90.00, 90.00, 125.13 degrees
Closest atoms and distances in Å follow each position.
Atoms (fractional coordinates):
Ho  0.2383  0.7617  0.7500  4 Si 2.92-3.09, 1 Mn 3.02
Ho  0.7617  0.2383  0.2500  4 Si 2.92-3.09, 1 Mn 3.02
Mn  0.4901  0.5099  0.2500  5 Si 2.11-2.28
Mn  0.5099  0.4901  0.7500  5 Si 2.11-2.28
Fe  0.1115  0.8885  0.2500  5 Si 2.11-2.28
Fe  0.8885  0.1115  0.7500  5 Si 2.11-2.28
Si  0.2051  0.2051  0.0000  2 Mn 2.28, 2 Fe 2.28, 1 Si 2.37
Si  0.2051  0.2051  0.5000  2 Mn 2.28, 2 Fe 2.28, 1 Si 2.37
Si  0.3007  0.6993  0.2500  1 Fe 2.11, 1 Mn 2.11
Si  0.6993  0.3007  0.7500  1 Fe 2.11, 1 Mn 2.11
Si  0.7949  0.7949  0.0000  2 Mn 2.28, 2 Fe 2.28, 1 Si 2.37
Si  0.7949  0.7949  0.5000  2 Mn 2.28, 2 Fe 2.28, 1 Si 2.37

---

No. 8
A plane-wave DFT calculation with PBE-GGA was carried out for crystalline Pm3Pr2YHo6 at its relaxed geometry.

Summary:
**Calculated formation energy**: 0.01 eV/atom
**M_tot**: 0.000 μB/atom
**Electronic total energy**: -4.80 eV per atom

Cell lengths 6.2303, 6.2303, 11.8395 Å; angles 95.01, 95.01, 119.98 degrees
Closest atoms and distances in Å follow each position.
Atoms (fractional coordinates):
Pm  0.0000  0.0000  0.0000  6 Ho 3.57, 6 Pm 3.60
Pm  0.3333  0.6667  0.0000  6 Ho 3.57, 6 Pm 3.60
Pm  0.6667  0.3333  0.0000  6 Ho 3.57, 6 Pm 3.60
Pr  0.1664  0.8336  0.5000  6 Ho 3.58-3.59, 3 Pr 3.59-3.60, 3 Y 3.60
Pr  0.8336  0.1664  0.5000  6 Ho 3.58-3.59, 3 Pr 3.59-3.60, 3 Y 3.60
Y  0.5000  0.5000  0.5000  6 Ho 3.58-3.59, 6 Pr 3.60
Ho  0.0829  0.4161  0.2494  3 Pm 3.57, 2 Pr 3.58-3.59, 1 Y 3.59, 6 Ho 3.60
Ho  0.2509  0.2509  0.7509  3 Pm 3.57, 1 Y 3.58, 2 Pr 3.59, 6 Ho 3.60
Ho  0.4161  0.0829  0.2494  3 Pm 3.57, 2 Pr 3.58-3.59, 1 Y 3.59, 6 Ho 3.60
Ho  0.5839  0.9171  0.7506  3 Pm 3.57, 2 Pr 3.58-3.59, 1 Y 3.59, 6 Ho 3.60
Ho  0.7491  0.7491  0.2491  3 Pm 3.57, 1 Y 3.58, 2 Pr 3.59, 6 Ho 3.60
Ho  0.9171  0.5839  0.7506  3 Pm 3.57, 2 Pr 3.58-3.59, 1 Y 3.59, 6 Ho 3.60

---

No. 9
A plane-wave DFT calculation with PBE-GGA was carried out for crystalline TiAs3Ru at its relaxed geometry.

Summary:
**Calculated formation energy**: 0.63 eV/atom
**M_tot**: 0.000 μB/atom
**Energy above the most stable polymorph in this dataset**: 0.0 kJ/mol of atoms
**Electronic total energy**: -5.59 eV per atom

Cell lengths 4.7595, 4.7595, 4.7595 Å; angles 90.00, 90.00, 90.00 degrees
Closest atoms and distances in Å follow each position.
Atoms (fractional coordinates):
Ti  0.0000  0.0000  0.0000  12 As 3.37
As  0.0000  0.5000  0.5000  2 Ru 2.38
As  0.5000  0.0000  0.5000  2 Ru 2.38
As  0.5000  0.5000  0.0000  2 Ru 2.38
Ru  0.5000  0.5000  0.5000  6 As 2.38

---

No. 10
A plane-wave DFT calculation with PBE-GGA was carried out for crystalline U2TiC at its relaxed geometry.

Summary:
**Calculated formation energy**: 0.20 eV/atom
**M_tot**: 0.000 μB/atom
**Electronic total energy**: -9.72 eV per atom

Cell lengths 8.6790, 8.6790, 8.6790 Å; angles 20.23, 20.23, 20.23 degrees
Closest atoms and distances in Å follow each position.
Atoms (fractional coordinates):
U  0.1056  0.1056  0.1056  3 C 2.35
U  0.8944  0.8944  0.8944  3 C 2.35
Ti  0.0000  0.0000  0.0000  2 U 2.69
C  0.5000  0.5000  0.5000  6 U 2.35

---

Copy entry 4 word for word.
A plane-wave DFT calculation with PBE-GGA was carried out for crystalline Sc4CdCl at its relaxed geometry.

Summary:
**E_form (uncorrected)**: 0.238 eV/atom
**M_tot**: 0.001 μB/atom
**Electronic total energy**: -4.44 eV per atom

Cell lengths 5.9768, 5.9768, 5.9768 Å; angles 60.00, 60.00, 60.00 degrees
Closest atoms and distances in Å follow each position.
Atoms (fractional coordinates):
Sc  0.1227  0.1227  0.1227  6 Sc 2.93-3.04
Sc  0.1227  0.1227  0.6319  6 Sc 2.93-3.04
Sc  0.1227  0.6319  0.1227  6 Sc 2.93-3.04
Sc  0.6319  0.1227  0.1227  6 Sc 2.93-3.04
Cd  0.7500  0.7500  0.7500  12 Sc 3.50, 4 Cl 3.66
Cl  0.5000  0.5000  0.5000  12 Sc 3.51, 4 Cd 3.66

---

Which formula does entry 9 have? TiAs3Ru

---

The highest electronic total energy belongs to which entry? TeOsI3